# 1
## Cs2CuBr4 (PBE-GGA)

Data for a relaxed Cs2CuBr4 crystal.

```
Cs2CuBr4
1.0
8.085 0.000 0.000
0.000 10.515 0.000
0.000 0.000 13.155
Cu Br Cs
4 16 8
Direct
0.750 0.770 0.419
0.250 0.730 0.919
0.750 0.270 0.081
0.250 0.230 0.581
0.250 0.343 0.421
0.018 0.708 0.358
0.518 0.292 0.642
0.250 0.006 0.623
0.750 0.994 0.377
0.750 0.494 0.123
0.750 0.157 0.921
0.518 0.792 0.858
0.018 0.208 0.142
0.250 0.506 0.877
0.482 0.208 0.142
0.250 0.843 0.079
0.982 0.792 0.858
0.750 0.657 0.579
0.482 0.708 0.358
0.982 0.292 0.642
0.250 0.625 0.603
0.250 0.507 0.167
0.250 0.125 0.897
0.750 0.993 0.667
0.750 0.493 0.833
0.750 0.375 0.397
0.750 0.875 0.103
0.250 0.007 0.333
```

* total DFT energy (no corrections): -2.955 eV/atom
* DOS at the Fermi energy: 1.208 states/eV/f.u.
* space-group type: Pnma
* energy relative to the elements, uncorrected: -1.1699 eV per atom
* energy above the lowest structure with this stoichiometry: 0 meV per atom



# 2
## CoRe (PBE-GGA)

Data for a relaxed CoRe crystal.

```
CoRe
1.0
-6.428 -2.349 2.055
2.961 -6.077 2.316
0.598 1.779 3.903
Re Co
8 8
Direct
0.759 0.591 0.000
0.409 0.241 0.500
0.241 0.591 0.500
0.591 0.241 0.000
0.409 0.759 0.000
0.241 0.409 0.000
0.759 0.409 0.500
0.591 0.759 0.500
0.761 0.070 0.500
0.761 0.930 0.000
0.930 0.239 0.000
0.070 0.239 0.500
0.070 0.761 0.000
0.239 0.930 0.500
0.930 0.761 0.500
0.239 0.070 0.000
```

* total DFT energy (no corrections): -9.435 eV/atom
* DOS at the Fermi energy: 2.170 states/eV/f.u.
* space-group type: P4/mcc
* ΔH_f (0 K): 342 meV per atom



# 3
## La4HPb2 (PBE-GGA)

Data for a relaxed La4HPb2 crystal.

```
La4HPb2
1.0
-2.891 3.391 1.841
-0.317 -2.501 4.110
5.638 4.858 6.219
La Pb H
4 2 1
Direct
0.000 0.500 0.000
0.500 0.000 0.000
0.180 0.180 0.640
0.820 0.820 0.360
0.363 0.363 0.273
0.637 0.637 0.727
0.000 0.000 0.000
```

* total DFT energy (no corrections): -4.890 eV/atom
* DOS at the Fermi energy: 7.409 states/eV/f.u.
* space-group type: I4/mmm
* energy above the lowest structure with this stoichiometry: 0 meV per atom



# 4
## TbTm6Th3 (PBE-GGA)

Data for a relaxed TbTm6Th3 crystal.

```
TbTm6Th3
1.0
-2.455 0.388 -2.450
9.249 1.181 -9.081
-6.172 -14.397 3.906
Th Tb Tm
6 2 12
Direct
0.750 0.620 0.504
0.750 0.126 0.091
0.750 0.388 0.895
0.250 0.380 0.496
0.250 0.612 0.105
0.250 0.874 0.909
0.250 0.884 0.303
0.750 0.116 0.697
0.750 0.386 0.101
0.250 0.397 0.290
0.250 0.348 0.691
0.250 0.115 0.276
0.750 0.857 0.097
0.750 0.885 0.724
0.750 0.652 0.309
0.250 0.143 0.903
0.750 0.128 0.487
0.250 0.872 0.513
0.250 0.614 0.899
0.750 0.603 0.710
```

* total DFT energy (no corrections): -5.292 eV/atom
* DOS at the Fermi energy: 15.606 states/eV/f.u.
* space-group type: P2_1/m
* energy above the lowest structure with this stoichiometry: 0 meV per atom
* ΔH_f (0 K): 80 meV per atom



# 5
## Pm2Nd3In4 (PBE-GGA)

Data for a relaxed Pm2Nd3In4 crystal.

```
Pm2Nd3In4
1.0
-3.831 -1.576 -6.029
3.287 -9.162 0.307
-4.377 -1.317 7.563
In Pm Nd
8 4 6
Direct
0.308 0.476 0.617
0.271 0.250 0.042
0.692 0.524 0.383
0.808 0.024 0.617
0.192 0.976 0.383
0.729 0.750 0.958
0.771 0.250 0.042
0.229 0.750 0.958
0.894 0.444 0.787
0.394 0.056 0.787
0.606 0.944 0.213
0.106 0.556 0.213
0.472 0.250 0.445
0.028 0.750 0.555
0.500 0.500 0.000
0.972 0.250 0.445
0.528 0.750 0.555
0.000 0.000 0.000
```

* total DFT energy (no corrections): -4.135 eV/atom
* DOS at the Fermi energy: 5.884 states/eV/f.u.
* space-group type: Cmce
* energy above the lowest structure with this stoichiometry: 142 meV per atom
* ΔH_f (0 K): -273 meV per atom



# 6
## K2MnW (PBE-GGA)

Data for a relaxed K2MnW crystal.

```
K2MnW
1.0
6.029 0.000 0.000
0.000 3.937 0.000
0.000 0.000 3.937
Mn W K
1 1 2
Direct
0.500 0.500 0.000
0.500 0.000 0.500
0.000 0.500 0.500
0.000 0.000 0.000
```

* total DFT energy (no corrections): -4.463 eV/atom
* DOS at the Fermi energy: 4.162 states/eV/f.u.
* space-group type: P4/mmm
* energy above the lowest structure with this stoichiometry: 731 meV per atom
* ΔH_f (0 K): 1617 meV per atom



# 7
## Na2ScNbNi (PBE-GGA)

Data for a relaxed Na2ScNbNi crystal.

```
Na2ScNbNi
1.0
-1.643 -2.325 4.061
-2.770 -2.758 -2.700
3.679 -3.301 -0.401
Nb Na Sc Ni
1 2 1 1
Direct
0.000 0.500 0.000
0.000 0.000 0.500
0.500 0.000 0.000
0.500 0.500 0.500
0.000 0.000 0.000
```

* total DFT energy (no corrections): -4.087 eV/atom
* DOS at the Fermi energy: 4.119 states/eV/f.u.
* space-group type: P4/mmm
* ΔH_f (0 K): 877 meV per atom



# 8
## BiAs2O6 (PBE-GGA)

Data for a relaxed BiAs2O6 crystal.

```
BiAs2O6
1.0
5.488 0.000 0.000
0.000 5.414 -3.126
0.000 0.000 6.252
O Bi As
6 1 2
Direct
0.756 0.180 0.360
0.244 0.360 0.180
0.244 0.820 0.180
0.756 0.640 0.820
0.756 0.180 0.820
0.244 0.820 0.640
0.000 0.000 0.000
0.826 0.333 0.667
0.174 0.667 0.333
```

* total DFT energy (no corrections): -5.621 eV/atom
* DOS at the Fermi energy: 4.352 states/eV/f.u.
* space-group type: P-3m1
* energy relative to the elements, uncorrected: -0.8514 eV per atom